# BaNi3Hg PBE-GGA optimized geometry
data_BaNi3Hg
_chemical_formula_sum 'Ba1 Ni3 Hg1'
_cell_length_a 4.891
_cell_length_b 4.891
_cell_length_c 4.891
_cell_angle_alpha 90.00
_cell_angle_beta 90.00
_cell_angle_gamma 90.00
_symmetry_space_group_name_H-M 'P m -3 m'
_symmetry_Int_Tables_number 221
_symmetry_space_group_name_Hall '-P 4 2 3'
loop_
_atom_site_label
_atom_site_type_symbol
_atom_site_fract_x
_atom_site_fract_y
_atom_site_fract_z
Ba1 Ba 0.000 0.000 0.000
Ni1 Ni 0.000 0.500 0.500
Hg1 Hg 0.500 0.500 0.500
# * VASP energy: -16.51 eV for the cell shown
# * spin magnetization: 0.00 μB per cell
# * energy relative to the elements: 3.054 eV/f.u.